No. 1
Below is a relaxed structure of GdDyMgZn, with properties calculated at the GGA-PBE level.

a = 7.3792 Å, b = 7.3792 Å, c = 7.3792 Å
α = 90.00°, β = 90.00°, γ = 90.00°
Space group F-43m (No. 216)
Symmetry-distinct sites (fractional):
Gd 0.0000 0.0000 0.0000 x4
Dy 0.0000 0.0000 0.5000 x4
Mg 0.2500 0.2500 0.7500 x4
Zn 0.2500 0.2500 0.2500 x4

## Properties
N(E_F) (states/eV/f.u.): 3.29
Formation energy from the elements (eV per atom): -0.18
Total DFT energy (no corrections) (eV/atom): -5.5717
Calculated density (g cm⁻³): 6.769

***

No. 2
Below is a relaxed structure of GdDy2Mn, with properties calculated at the GGA-PBE level.

a = 7.4911 Å, b = 7.4911 Å, c = 7.4911 Å
α = 90.00°, β = 90.00°, γ = 90.00°
Space group Fm-3m (No. 225)
Symmetry-distinct sites (fractional):
Gd 0.0000 0.0000 0.0000 x4
Dy 0.2500 0.2500 0.2500 x8
Mn 0.0000 0.0000 0.5000 x4

## Properties
N(E_F) (states/eV/f.u.): 5.92
Formation energy from the elements (eV per atom): 0.28
Total DFT energy (no corrections) (eV/atom): -7.8371
Energy relative to the lowest polymorph listed for this composition (kJ per mole of atoms): 16.6
Calculated density (g cm⁻³): 8.488

***

No. 3
Below is a relaxed structure of GdDyMn2, with properties calculated at the GGA-PBE level.

a = 5.0056 Å, b = 5.0056 Å, c = 3.5224 Å
α = 90.00°, β = 90.00°, γ = 90.00°
Space group P4/mmm (No. 123)
Symmetry-distinct sites (fractional):
Gd 0.0000 0.0000 0.0000 x1
Dy 0.5000 0.5000 0.0000 x1
Mn 0.0000 0.5000 0.5000 x2

## Properties
N(E_F) (states/eV/f.u.): 4.79
Formation energy from the elements (eV per atom): 0.19
Total DFT energy (no corrections) (eV/atom): -9.0695
Energy relative to the lowest polymorph listed for this composition (kJ per mole of atoms): 0.3
Calculated density (g cm⁻³): 8.083

***

No. 4
Below is a relaxed structure of GdDy2Mn, with properties calculated at the GGA-PBE level.

a = 3.5559 Å, b = 3.5559 Å, c = 8.6042 Å
α = 90.00°, β = 90.00°, γ = 90.00°
Space group P4/mmm (No. 123)
Symmetry-distinct sites (fractional):
Gd 0.0000 0.0000 0.0000 x1
Dy 0.5000 0.5000 0.3021 x2
Mn 0.0000 0.0000 0.5000 x1

## Properties
N(E_F) (states/eV/f.u.): 6.02
Formation energy from the elements (eV per atom): 0.10
Total DFT energy (no corrections) (eV/atom): -8.0094
Energy relative to the lowest polymorph listed for this composition (kJ per mole of atoms): 0.0
Calculated density (g cm⁻³): 8.199

***

No. 5
Below is a relaxed structure of GdDyMn2, with properties calculated at the GGA-PBE level.

a = 7.0626 Å, b = 7.0626 Å, c = 7.0626 Å
α = 90.00°, β = 90.00°, γ = 90.00°
Space group Fm-3m (No. 225)
Symmetry-distinct sites (fractional):
Gd 0.0000 0.0000 0.0000 x4
Dy 0.0000 0.0000 0.5000 x4
Mn 0.2500 0.2500 0.2500 x8

## Properties
N(E_F) (states/eV/f.u.): 4.31
Formation energy from the elements (eV per atom): 0.18
Total DFT energy (no corrections) (eV/atom): -9.0722
Energy relative to the lowest polymorph listed for this composition (kJ per mole of atoms): 0.0
Calculated density (g cm⁻³): 8.100

***

No. 6
Below is a relaxed structure of GdDyMn4, with properties calculated at the GGA-PBE level.

a = 7.2273 Å, b = 7.2273 Å, c = 7.2273 Å
α = 90.00°, β = 90.00°, γ = 90.00°
Space group F-43m (No. 216)
Symmetry-distinct sites (fractional):
Gd 0.0000 0.0000 0.0000 x4
Dy 0.2500 0.2500 0.2500 x4
Mn 0.1249 0.1249 0.6249 x16

## Properties
N(E_F) (states/eV/f.u.): 9.92
Formation energy from the elements (eV per atom): 0.19
Total DFT energy (no corrections) (eV/atom): -9.0389
Calculated density (g cm⁻³): 9.492

***

No. 7
Below is a relaxed structure of GdDyMnNi, with properties calculated at the GGA-PBE level.

a = 6.9354 Å, b = 6.9354 Å, c = 6.9354 Å
α = 90.00°, β = 90.00°, γ = 90.00°
Space group F-43m (No. 216)
Symmetry-distinct sites (fractional):
Gd 0.0000 0.0000 0.0000 x4
Dy 0.0000 0.0000 0.5000 x4
Mn 0.2500 0.2500 0.7500 x4
Ni 0.2500 0.2500 0.2500 x4

## Properties
N(E_F) (states/eV/f.u.): 6.03
Formation energy from the elements (eV per atom): -0.01
Total DFT energy (no corrections) (eV/atom): -8.4142
Calculated density (g cm⁻³): 8.629

***

No. 8
Below is a relaxed structure of GdDyMnPd, with properties calculated at the GGA-PBE level.

a = 7.0824 Å, b = 7.0824 Å, c = 7.0824 Å
α = 90.00°, β = 90.00°, γ = 90.00°
Space group F-43m (No. 216)
Symmetry-distinct sites (fractional):
Gd 0.0000 0.0000 0.0000 x4
Dy 0.0000 0.0000 0.5000 x4
Mn 0.2500 0.2500 0.7500 x4
Pd 0.2500 0.2500 0.2500 x4

## Properties
N(E_F) (states/eV/f.u.): 4.57
Formation energy from the elements (eV per atom): -0.23
Total DFT energy (no corrections) (eV/atom): -8.4951
Calculated density (g cm⁻³): 8.995

***

No. 9
Below is a relaxed structure of GdDyPuMn, with properties calculated at the GGA-PBE level.

a = 7.5551 Å, b = 7.5551 Å, c = 7.5551 Å
α = 90.00°, β = 90.00°, γ = 90.00°
Space group F-43m (No. 216)
Symmetry-distinct sites (fractional):
Gd 0.0000 0.0000 0.0000 x4
Dy 0.0000 0.0000 0.5000 x4
Pu 0.2500 0.2500 0.2500 x4
Mn 0.2500 0.2500 0.7500 x4

## Properties
N(E_F) (states/eV/f.u.): 14.82
Formation energy from the elements (eV per atom): 0.45
Total DFT energy (no corrections) (eV/atom): -10.0996
Calculated density (g cm⁻³): 9.529

***

No. 10
Below is a relaxed structure of GdDyMnRu, with properties calculated at the GGA-PBE level.

a = 6.9637 Å, b = 6.9637 Å, c = 6.9637 Å
α = 90.00°, β = 90.00°, γ = 90.00°
Space group F-43m (No. 216)
Symmetry-distinct sites (fractional):
Gd 0.0000 0.0000 0.0000 x4
Dy 0.0000 0.0000 0.5000 x4
Mn 0.2500 0.2500 0.7500 x4
Ru 0.2500 0.2500 0.2500 x4

## Properties
N(E_F) (states/eV/f.u.): 2.70
Formation energy from the elements (eV per atom): -0.03
Total DFT energy (no corrections) (eV/atom): -9.3152
Calculated density (g cm⁻³): 9.358

***

No. 11
Below is a relaxed structure of GdDyMnTl, with properties calculated at the GGA-PBE level.

a = 7.4210 Å, b = 7.4210 Å, c = 7.4210 Å
α = 90.00°, β = 90.00°, γ = 90.00°
Space group F-43m (No. 216)
Symmetry-distinct sites (fractional):
Gd 0.0000 0.0000 0.0000 x4
Dy 0.0000 0.0000 0.5000 x4
Mn 0.2500 0.2500 0.2500 x4
Tl 0.2500 0.2500 0.7500 x4

## Properties
N(E_F) (states/eV/f.u.): 5.49
Formation energy from the elements (eV per atom): 0.01
Total DFT energy (no corrections) (eV/atom): -7.5490
Calculated density (g cm⁻³): 9.411

***

No. 12
Below is a relaxed structure of GdDyMo4, with properties calculated at the GGA-PBE level.

a = 7.8191 Å, b = 7.8191 Å, c = 7.8191 Å
α = 90.00°, β = 90.00°, γ = 90.00°
Space group F-43m (No. 216)
Symmetry-distinct sites (fractional):
Gd 0.0000 0.0000 0.0000 x4
Dy 0.2500 0.2500 0.7500 x4
Mo 0.1251 0.1251 0.3749 x16

## Properties
N(E_F) (states/eV/f.u.): 8.35
Formation energy from the elements (eV per atom): 0.13
Total DFT energy (no corrections) (eV/atom): -10.2067
Calculated density (g cm⁻³): 9.775

***

No. 13
Below is a relaxed structure of GdDy3N, with properties calculated at the GGA-PBE level.

a = 4.9647 Å, b = 4.9647 Å, c = 4.9647 Å
α = 90.00°, β = 90.00°, γ = 90.00°
Space group Pm-3m (No. 221)
Symmetry-distinct sites (fractional):
Gd 0.0000 0.0000 0.0000 x1
Dy 0.0000 0.5000 0.5000 x3
N 0.5000 0.5000 0.5000 x1

## Properties
N(E_F) (states/eV/f.u.): 5.22
Raw formation energy (eV per atom): -0.5178
Total DFT energy (no corrections) (eV/atom): -7.7603
Calculated density (g cm⁻³): 8.939

***

No. 14
Below is a relaxed structure of GdDyN, with properties calculated at the GGA-PBE level.

a = 6.0357 Å, b = 6.0357 Å, c = 6.0357 Å
α = 90.00°, β = 90.00°, γ = 90.00°
Space group F-43m (No. 216)
Symmetry-distinct sites (fractional):
Gd 0.0000 0.0000 0.0000 x4
Dy 0.0000 0.0000 0.5000 x4
N 0.2500 0.2500 0.2500 x4

## Properties
N(E_F) (states/eV/f.u.): 1.82
Raw formation energy (eV per atom): -0.3467
Total DFT energy (no corrections) (eV/atom): -9.3495
Energy relative to the lowest polymorph listed for this composition (kJ per mole of atoms): 65.4
Calculated density (g cm⁻³): 10.082

***

No. 15
Below is a relaxed structure of GdDyN, with properties calculated at the GGA-PBE level.

a = 3.5233 Å, b = 3.5233 Å, c = 6.0077 Å
α = 90.00°, β = 90.00°, γ = 120.00°
Space group P3m1 (No. 156)
Symmetry-distinct sites (fractional):
Gd 0.0000 0.0000 0.0000 x1
Dy 0.3333 0.6667 0.4490 x1
N 0.6667 0.3333 0.2342 x1

## Properties
N(E_F) (states/eV/f.u.): 2.07
Raw formation energy (eV per atom): -1.0244
Total DFT energy (no corrections) (eV/atom): -10.0272
Energy relative to the lowest polymorph listed for this composition (kJ per mole of atoms): 0.0
Calculated density (g cm⁻³): 8.581

***

No. 16
Below is a relaxed structure of NaGdDy2, with properties calculated at the GGA-PBE level.

a = 3.5212 Å, b = 3.5212 Å, c = 10.5862 Å
α = 90.00°, β = 90.00°, γ = 90.00°
Space group P4/mmm (No. 123)
Symmetry-distinct sites (fractional):
Na 0.0000 0.0000 0.0000 x1
Gd 0.0000 0.0000 0.5000 x1
Dy 0.5000 0.5000 0.2684 x2

## Properties
N(E_F) (states/eV/f.u.): 4.98
Formation energy from the elements (eV per atom): 0.14
Total DFT energy (no corrections) (eV/atom): -6.0067
Energy relative to the lowest polymorph listed for this composition (kJ per mole of atoms): 0.0
Calculated density (g cm⁻³): 6.392

***

No. 17
Below is a relaxed structure of NaGdDy, with properties calculated at the GGA-PBE level.

a = 3.5414 Å, b = 3.5414 Å, c = 9.2062 Å
α = 90.00°, β = 90.00°, γ = 120.00°
Space group P3m1 (No. 156)
Symmetry-distinct sites (fractional):
Na 0.0000 0.0000 0.0000 x1
Gd 0.6667 0.3333 0.3524 x1
Dy 0.3333 0.6667 0.6525 x1

## Properties
N(E_F) (states/eV/f.u.): 3.96
Formation energy from the elements (eV per atom): 0.13
Total DFT energy (no corrections) (eV/atom): -6.5333
Energy relative to the lowest polymorph listed for this composition (kJ per mole of atoms): 0.0
Calculated density (g cm⁻³): 5.692

***

No. 18
Below is a relaxed structure of NaGdDy, with properties calculated at the GGA-PBE level.

a = 3.5317 Å, b = 3.5317 Å, c = 16.1247 Å
α = 90.00°, β = 90.00°, γ = 90.00°
Space group I4mm (No. 107)
Symmetry-distinct sites (fractional):
Na 0.0000 0.0000 0.0000 x2
Gd 0.0000 0.0000 0.3223 x2
Dy 0.0000 0.0000 0.6740 x2

## Properties
N(E_F) (states/eV/f.u.): 3.63
Formation energy from the elements (eV per atom): 0.15
Total DFT energy (no corrections) (eV/atom): -6.5164
Energy relative to the lowest polymorph listed for this composition (kJ per mole of atoms): 1.6
Calculated density (g cm⁻³): 5.660

***

No. 19
Below is a relaxed structure of NaGdDy2, with properties calculated at the GGA-PBE level.

a = 3.4955 Å, b = 3.4955 Å, c = 38.0785 Å
α = 90.00°, β = 90.00°, γ = 120.00°
Space group R-3m (No. 166, hexagonal axes)
Symmetry-distinct sites (fractional):
Na 0.0000 0.0000 0.0000 x3
Gd 0.0000 0.0000 0.5000 x3
Dy 0.0000 0.0000 0.0917 x6

## Properties
N(E_F) (states/eV/f.u.): 5.66
Formation energy from the elements (eV per atom): 0.17
Total DFT energy (no corrections) (eV/atom): -5.9766
Energy relative to the lowest polymorph listed for this composition (kJ per mole of atoms): 2.9
Calculated density (g cm⁻³): 6.247

***

No. 20
Below is a relaxed structure of NdGdDy2, with properties calculated at the GGA-PBE level.

a = 5.0797 Å, b = 5.0797 Å, c = 5.0507 Å
α = 90.00°, β = 90.00°, γ = 90.00°
Space group P4/mmm (No. 123)
Symmetry-distinct sites (fractional):
Nd 0.0000 0.0000 0.0000 x1
Gd 0.5000 0.5000 0.0000 x1
Dy 0.0000 0.5000 0.5000 x2

## Properties
N(E_F) (states/eV/f.u.): 6.35
Formation energy from the elements (eV per atom): 0.02
Total DFT energy (no corrections) (eV/atom): -6.9978
Energy relative to the lowest polymorph listed for this composition (kJ per mole of atoms): 0.0
Calculated density (g cm⁻³): 7.982